Record 1
{
  "formula": "TaTcHRh2",
  "functional": "PBE-GGA",
  "state": "relaxed",
  "total_magnetization_mub_per_fu": 0.0,
  "rho_g_cm3": 13.0,
  "energy_ev_per_atom": -8.329,
  "lattice_angstrom": [[3.881, 0.000, 0.000], [0.000, 3.881, 0.000], [0.000, 0.000, 4.135]],
  "species": ["Ta", "Tc", "H", "Rh", "Rh"],
  "frac_coords": [[0.000, 0.000, 0.000], [0.500, 0.500, 0.000], [0.000, 0.000, 0.500], [0.000, 0.500, 0.500], [0.500, 0.000, 0.500]]
}


Record 2
{
  "formula": "Tb12Pm2Th",
  "functional": "PBE-GGA",
  "state": "relaxed",
  "delta_e_f_ev_per_atom": 0.17,
  "total_magnetization_mub_per_fu": 0.0,
  "rho_g_cm3": 8.1,
  "lattice_angstrom": [[3.510, -5.725, 0.000], [3.510, 5.725, 0.000], [0.000, 0.000, 24.809]],
  "species": ["Tb", "Tb", "Tb", "Tb", "Tb", "Tb", "Tb", "Tb", "Tb", "Tb", "Tb", "Tb", "Tb", "Tb", "Tb", "Tb", "Tb", "Tb", "Tb", "Tb", "Tb", "Tb", "Tb", "Tb", "Pm", "Pm", "Pm", "Pm", "Th", "Th"],
  "frac_coords": [[0.001, 0.501, 0.125], [0.001, 0.999, 0.924], [0.012, 0.512, 0.585], [0.016, 0.984, 0.439], [0.250, 0.250, 0.199], [0.250, 0.250, 0.327], [0.250, 0.250, 0.673], [0.250, 0.250, 0.801], [0.484, 0.516, 0.439], [0.488, 0.988, 0.585], [0.499, 0.501, 0.924], [0.499, 0.999, 0.125], [0.501, 0.001, 0.875], [0.501, 0.499, 0.076], [0.512, 0.012, 0.415], [0.516, 0.484, 0.561], [0.750, 0.750, 0.199], [0.750, 0.750, 0.327], [0.750, 0.750, 0.673], [0.750, 0.750, 0.801], [0.984, 0.016, 0.561], [0.988, 0.488, 0.415], [0.999, 0.001, 0.076], [0.999, 0.499, 0.875], [0.250, 0.750, 0.272], [0.250, 0.750, 0.735], [0.750, 0.250, 0.265], [0.750, 0.250, 0.728], [0.250, 0.750, 0.000], [0.750, 0.250, 0.000]]
}


Record 3
{
  "formula": "RbGaC",
  "functional": "PBE-GGA",
  "state": "relaxed",
  "delta_e_f_ev_per_atom": 0.29,
  "total_magnetization_mub_per_fu": 0.0,
  "rho_g_cm3": 3.2,
  "lattice_angstrom": [[7.629, -2.242, 0.000], [7.629, 2.242, 0.000], [-1.868, 0.000, 5.060]],
  "species": ["Rb", "Rb", "Ga", "Ga", "C", "C"],
  "frac_coords": [[0.137, 0.137, 0.139], [0.863, 0.863, 0.861], [0.406, 0.406, 0.401], [0.594, 0.594, 0.599], [0.148, 0.852, 0.500], [0.852, 0.148, 0.500]]
}